Record 1
The following is a GGA-PBE calculation of an optimized crystal structure of GaHgB, from the Alexandria database.

Lattice parameters (Å, degrees): 3.6814 3.6814 8.9893 90.00 90.00 120.00
Fractional positions:
Ga1 0.3333 0.6667 0.2500
Ga2 0.6667 0.3333 0.7500
Hg1 0.0000 0.0000 0.0000
Hg2 0.0000 0.0000 0.5000
B1 0.3333 0.6667 0.7500
B2 0.6667 0.3333 0.2500

Results
The spin magnetization is 0.0 μB per cell. The total energy comes out at -15.896 eV for the cell shown.

---

Record 2
The following is a GGA-PBE calculation of an optimized crystal structure of CrCuNi, from the Alexandria database.

Lattice parameters (Å, degrees): 4.3614 4.3614 4.3614 147.05 130.06 61.13
Fractional positions:
Cr1 0.0000 0.0000 0.0000
Cu1 0.3308 0.3308 0.0000
Ni1 0.6631 0.6631 0.0000

Results
The spin magnetization is 0.6 μB per cell. The total energy comes out at -18.993 eV for the cell shown.

---

Record 3
The following is a GGA-PBE calculation of an optimized crystal structure of CsPH, from the Alexandria database.

Lattice parameters (Å, degrees): 3.4543 4.6193 10.2118 99.49 99.65 90.02
Fractional positions:
Cs1 0.0000 0.0000 0.0000
Cs2 0.1753 0.6354 0.3529
P1 0.3559 0.4495 0.7165
P2 0.8160 0.1858 0.6363
H1 0.5510 0.5349 0.1016
H2 0.6247 0.1003 0.2513

Results
The spin magnetization is 0.0 μB per cell. The total energy comes out at -18.843 eV for the cell shown.

---

Record 4
The following is a GGA-PBE calculation of an optimized crystal structure of TmRuPb, from the Alexandria database.

Lattice parameters (Å, degrees): 6.2775 6.2775 6.2775 149.01 149.01 44.39
Fractional positions:
Tm1 0.0000 0.0000 0.0000
Ru1 0.3559 0.3559 0.0000
Pb1 0.7137 0.7137 0.0000

Results
The spin magnetization is 0.0 μB per cell. The total energy comes out at -17.968 eV for the cell shown.

---

Record 5
The following is a GGA-PBE calculation of an optimized crystal structure of NaNdHg2, from the Alexandria database.

Lattice parameters (Å, degrees): 5.2801 5.2801 5.2801 60.00 60.00 60.00
Fractional positions:
Na1 0.0000 0.0000 0.0000
Nd1 0.5000 0.5000 0.5000
Hg1 0.2500 0.2500 0.2500
Hg2 0.7500 0.7500 0.7500

Results
The spin magnetization is 0.0 μB per cell. The total energy comes out at -8.198 eV for the cell shown.

---

Record 6
The following is a GGA-PBE calculation of an optimized crystal structure of Cd2HgAu, from the Alexandria database.

Lattice parameters (Å, degrees): 5.1840 5.1840 4.8695 101.99 101.99 42.86
Fractional positions:
Cd1 0.0000 0.0000 0.0000
Cd2 0.2459 0.2459 0.7215
Hg1 0.7532 0.7532 0.2409
Au1 0.5077 0.5077 0.5203

Results
The spin magnetization is 0.0 μB per cell. The total energy comes out at -5.560 eV for the cell shown.

---

Record 7
The following is a GGA-PBE calculation of an optimized crystal structure of Sr2ZrTa2, from the Alexandria database.

Lattice parameters (Å, degrees): 9.5290 9.5290 2.9160 90.00 90.00 90.00
Fractional positions:
Sr1 0.1180 0.3820 0.0000
Sr2 0.3820 0.8820 0.0000
Sr3 0.6180 0.1180 0.0000
Sr4 0.8820 0.6180 0.0000
Zr1 0.0000 0.0000 0.0000
Zr2 0.5000 0.5000 0.0000
Ta1 0.1859 0.6859 0.5000
Ta2 0.3141 0.1859 0.5000
Ta3 0.6859 0.8141 0.5000
Ta4 0.8141 0.3141 0.5000

Results
The spin magnetization is 0.0 μB per cell. The total energy comes out at -57.257 eV for the cell shown.

---

Record 8
The following is a GGA-PBE calculation of an optimized crystal structure of Y2TmCuTe5, from the Alexandria database.

Lattice parameters (Å, degrees): 9.5985 9.5985 12.8990 90.00 90.00 154.57
Fractional positions:
Y1 0.1092 0.8908 0.5000
Y2 0.1247 0.8753 0.1189
Y3 0.8753 0.1247 0.6189
Y4 0.8908 0.1092 0.0000
Tm1 0.1892 0.8108 0.8250
Tm2 0.8108 0.1892 0.3250
Cu1 0.4285 0.5715 0.2765
Cu2 0.5715 0.4285 0.7765
Te1 0.0400 0.9600 0.8836
Te2 0.2859 0.7141 0.4882
Te3 0.3127 0.6873 0.1564
Te4 0.3538 0.6462 0.8143
Te5 0.4995 0.5005 0.6037
Te6 0.5005 0.4995 0.1037
Te7 0.6462 0.3538 0.3143
Te8 0.6873 0.3127 0.6564
Te9 0.7141 0.2859 0.9882
Te10 0.9600 0.0400 0.3836

Results
As for the formation energy from raw total energies: -108.5 kJ per mole of atoms. The spin magnetization is 0.0 μB per cell. The total energy comes out at -94.658 eV for the cell shown.